Record 1
VASP calculation (meta-GGA SCAN) on a PBEsol-optimized structure of Cs2RbAsF6.

The structure in POSCAR format:
```
Cs2RbAsF6
1.0
0.000 4.688 4.688
4.688 0.000 4.688
4.688 4.688 0.000
Cs Rb As F
2 1 1 6
Direct
0.250 0.250 0.250 Cs
0.750 0.750 0.750 Cs
0.000 0.000 0.000 Rb
0.500 0.500 0.500 As
0.281 0.281 0.719 F
0.281 0.719 0.281 F
0.281 0.719 0.719 F
0.719 0.281 0.281 F
0.719 0.281 0.719 F
0.719 0.719 0.281 F
```

Properties
Magnetization in μB/f.u.: 0.00
Crystal system: cubic
Energy relative to the elements, uncorrected in eV/atom: -2.657

Record 2
VASP calculation (meta-GGA SCAN) on a PBEsol-optimized structure of Cs2TlAsF6.

The structure in POSCAR format:
```
Cs2TlAsF6
1.0
0.000 4.674 4.674
4.674 0.000 4.674
4.674 4.674 0.000
Cs Tl As F
2 1 1 6
Direct
0.250 0.250 0.250 Cs
0.750 0.750 0.750 Cs
0.000 0.000 0.000 Tl
0.500 0.500 0.500 As
0.280 0.280 0.720 F
0.280 0.720 0.280 F
0.280 0.720 0.720 F
0.720 0.280 0.280 F
0.720 0.280 0.720 F
0.720 0.720 0.280 F
```

Properties
Magnetization in μB/f.u.: 0.00
Crystal system: cubic
Energy relative to the elements, uncorrected in eV/atom: -2.433

Record 3
VASP calculation (meta-GGA SCAN) on a PBEsol-optimized structure of CsFe2As2.

The structure in POSCAR format:
```
CsFe2As2
1.0
-1.851 1.851 7.578
1.851 -1.851 7.578
1.851 1.851 -7.578
Cs Fe As
1 2 2
Direct
0.000 0.000 0.000 Cs
0.250 0.750 0.500 Fe
0.750 0.250 0.500 Fe
0.341 0.341 0.000 As
0.659 0.659 0.000 As
```

Properties
Raw total energy in eV/cell: -115.836
Magnetization in μB/f.u.: 2.28
Crystal system: tetragonal

Record 4
VASP calculation (meta-GGA SCAN) on a PBEsol-optimized structure of CsGa2As2.

The structure in POSCAR format:
```
CsGa2As2
1.0
-2.184 2.184 7.093
2.184 -2.184 7.093
2.184 2.184 -7.093
Cs Ga As
1 2 2
Direct
0.000 0.000 0.000 Cs
0.250 0.750 0.500 Ga
0.750 0.250 0.500 Ga
0.348 0.348 0.000 As
0.652 0.652 0.000 As
```

Properties
Raw total energy in eV/cell: -113.052
Magnetization in μB/f.u.: 0.00
Crystal system: tetragonal